[1]
# PBE-GGA KUTl2O8, optimized geometry
data_KUTl2O8
_symmetry_space_group_name_H-M 'P 1'
_symmetry_Int_Tables_number 1
_symmetry_space_group_name_Hall 'P 1'
_cell_length_a 5.438
_cell_length_b 4.763
_cell_length_c 8.050
_cell_angle_alpha 83.04
_cell_angle_beta 90.45
_cell_angle_gamma 84.26
loop_
_atom_site_label
_atom_site_fract_x
_atom_site_fract_y
_atom_site_fract_z
O1 0.539 0.863 0.503
O2 0.277 0.243 0.002
O3 0.818 0.199 0.194
O4 0.816 0.264 0.780
O5 0.182 0.801 0.806
O6 0.184 0.736 0.220
O7 0.461 0.137 0.497
O8 0.723 0.757 0.998
Tl1 0.507 0.542 0.792
Tl2 0.493 0.458 0.208
U1 0.000 0.000 0.000
K1 0.000 0.000 0.500
# Crystal system   triclinic
# E_form (uncorrected)   -1.40 eV per atom
# N(E_F)   0.076 states/eV per atom
# Magnetization   1.0 μB/cell

***

[2]
# PBE-GGA K2UTlO6, optimized geometry
data_K2UTlO6
_symmetry_space_group_name_H-M 'P 1'
_symmetry_Int_Tables_number 1
_symmetry_space_group_name_Hall 'P 1'
_cell_length_a 6.105
_cell_length_b 6.105
_cell_length_c 6.098
_cell_angle_alpha 60.01
_cell_angle_beta 60.01
_cell_angle_gamma 90.02
loop_
_atom_site_label
_atom_site_fract_x
_atom_site_fract_y
_atom_site_fract_z
Tl1 0.000 0.000 0.000
O1 0.263 0.737 0.000
O2 0.737 0.263 0.000
O3 0.738 0.738 0.524
O4 0.262 0.262 0.476
O5 0.262 0.262 0.000
O6 0.738 0.738 0.000
U1 0.500 0.500 0.000
K1 0.250 0.750 0.500
K2 0.750 0.250 0.500
# Crystal system   monoclinic
# E_form (uncorrected)   -1.94 eV per atom
# N(E_F)   0.791 states/eV per atom
# Magnetization   0.0 μB/cell

***

What is the magnetization in the second record?
0.0 μB/cell

***

Copy entry 2 word for word.
# PBE-GGA K2UTlO6, optimized geometry
data_K2UTlO6
_symmetry_space_group_name_H-M 'P 1'
_symmetry_Int_Tables_number 1
_symmetry_space_group_name_Hall 'P 1'
_cell_length_a 6.105
_cell_length_b 6.105
_cell_length_c 6.098
_cell_angle_alpha 60.01
_cell_angle_beta 60.01
_cell_angle_gamma 90.02
loop_
_atom_site_label
_atom_site_fract_x
_atom_site_fract_y
_atom_site_fract_z
Tl1 0.000 0.000 0.000
O1 0.263 0.737 0.000
O2 0.737 0.263 0.000
O3 0.738 0.738 0.524
O4 0.262 0.262 0.476
O5 0.262 0.262 0.000
O6 0.738 0.738 0.000
U1 0.500 0.500 0.000
K1 0.250 0.750 0.500
K2 0.750 0.250 0.500
# Crystal system   monoclinic
# E_form (uncorrected)   -1.94 eV per atom
# N(E_F)   0.791 states/eV per atom
# Magnetization   0.0 μB/cell

***

Look up the magnetization of the second one.
0.0 μB/cell